DFT (PBE-GGA) results for MoAs2PSe after structural relaxation.

* energy above the lowest structure with this stoichiometry: 0.0 kJ/mol of formula units
* ΔE_f (raw): 0.76 eV per atom
* spin magnetization: 0.898 μB per cell

Unit cell a=4.9413 b=4.9413 c=4.7380 alpha=90.00 beta=90.00 gamma=90.00
Closest atoms and distances in Å follow each position.
Atoms (fractional coordinates):
Se: 0.0000 0.0000 0.5000  2 Mo 2.37
As: 0.5000 0.0000 0.0000  2 Mo 2.47
Mo: 0.0000 0.0000 0.0000  2 Se 2.37, 4 As 2.47
P: 0.5000 0.5000 0.5000  8 As 3.42, 4 Se 3.49
As: 0.0000 0.5000 0.0000  2 Mo 2.47